# 1
LaZr2 | PBE | optimized geometry

The calculation puts the energy above the most stable polymorph in this dataset at 17 meV/atom. The calculation puts the total magnetization at 0.000 μB per atom. The density of states at the Fermi level comes out at 4.04 states/eV/f.u.

abc: 3.3405 3.3405 16.6155
angles: 90.00 90.00 120.00
Space group P-3m1 (No. 164)
Inequivalent atoms, fractional coordinates:
La1 0.3333 0.6667 0.1020
Zr1 0.3333 0.6667 0.4238
Zr2 0.3333 0.6667 0.7265


# 2
LaZr3 | PBE | optimized geometry

The calculation puts the total magnetization at 0.188 μB per atom. The value obtained for the total energy is -5.64 eV per atom. The density of states at the Fermi level comes out at 8.83 states/eV/f.u.

abc: 5.263 5.263 5.263
angles: 90.00 90.00 90.00
Space group Pm-3m (No. 221)
Inequivalent atoms, fractional coordinates:
La1 0.000 0.000 0.000
Zr1 0.000 0.000 0.500


# 3
LaZr3 | PBE | optimized geometry

The calculation puts the total magnetization at 0.000 μB per atom. The value obtained for the total energy is -7.50 eV per atom. The density of states at the Fermi level comes out at 5.64 states/eV/f.u.

abc: 3.2983 3.2983 32.4925
angles: 90.00 90.00 120.00
Space group R-3m (No. 166, hexagonal axes)
Inequivalent atoms, fractional coordinates:
La1 0.0000 0.0000 0.0000
Zr1 0.0000 0.0000 0.2444
Zr2 0.0000 0.0000 0.5000


# 4
LaZr2 | PBE | optimized geometry

The calculation puts the energy above the most stable polymorph in this dataset at 64 meV/atom. The calculation puts the total magnetization at 0.000 μB per atom. The density of states at the Fermi level comes out at 3.95 states/eV/f.u.

abc: 3.3285 3.3285 8.2312
angles: 90.00 90.00 120.00
Space group P-3m1 (No. 164)
Inequivalent atoms, fractional coordinates:
La1 0.0000 0.0000 0.0000
Zr1 0.3333 0.6667 0.6506


# 5
LaZr3 | PBE | optimized geometry

The calculation puts the total magnetization at 0.000 μB per atom. The value obtained for the total energy is -7.46 eV per atom. The density of states at the Fermi level comes out at 4.15 states/eV/f.u.

abc: 4.666 4.666 4.666
angles: 90.00 90.00 90.00
Space group Pm-3m (No. 221)
Inequivalent atoms, fractional coordinates:
La1 0.000 0.000 0.000
Zr1 0.000 0.500 0.500


# 6
LaZr2 | PBE | optimized geometry

The calculation puts the energy above the most stable polymorph in this dataset at 77 meV/atom. The calculation puts the total magnetization at 0.001 μB per atom. The density of states at the Fermi level comes out at 5.20 states/eV/f.u.

abc: 5.8876 5.8876 5.4024
angles: 90.00 90.00 120.00
Space group P-62m (No. 189)
Inequivalent atoms, fractional coordinates:
La1 0.3333 0.6667 0.0000
Zr1 0.0000 0.0000 0.0000
Zr2 0.0000 0.3013 0.5000


# 7
LaZr | PBE | optimized geometry

The calculation puts the energy above the most stable polymorph in this dataset at 44 meV/atom. The calculation puts the total magnetization at 0.000 μB per atom. The density of states at the Fermi level comes out at 2.89 states/eV/f.u.

abc: 3.418 5.223 6.818
angles: 90.00 104.48 90.00
Space group P2_1/m (No. 11)
Inequivalent atoms, fractional coordinates:
La1 0.172 0.250 0.343
Zr1 0.442 0.250 0.885


# 8
LaZr | PBE | optimized geometry

The calculation puts the energy above the most stable polymorph in this dataset at 30 meV/atom. The calculation puts the total magnetization at 0.000 μB per atom. The density of states at the Fermi level comes out at 2.67 states/eV/f.u.

abc: 5.940 3.426 11.377
angles: 90.00 99.92 90.00
Space group Cm (No. 8)
Inequivalent atoms, fractional coordinates:
La1 0.000 0.000 0.000
La2 0.068 0.500 0.714
Zr1 0.316 0.500 0.464
Zr2 0.413 0.000 0.246


# 9
LaZr2 | PBE | optimized geometry

The calculation puts the energy above the most stable polymorph in this dataset at 59 meV/atom. The calculation puts the total magnetization at 0.000 μB per atom. The density of states at the Fermi level comes out at 4.10 states/eV/f.u.

abc: 3.3238 3.3238 16.6058
angles: 90.00 90.00 120.00
Space group P-6m2 (No. 187)
Inequivalent atoms, fractional coordinates:
La1 0.0000 0.0000 0.1716
Zr1 0.0000 0.0000 0.5000
Zr2 0.6667 0.3333 0.0000
Zr3 0.6667 0.3333 0.3494


# 10
LaZr3 | PBE | optimized geometry

The calculation puts the total magnetization at 0.000 μB per atom. The value obtained for the total energy is -7.47 eV per atom. The density of states at the Fermi level comes out at 5.16 states/eV/f.u.

abc: 3.230 5.406 5.919
angles: 90.00 95.39 90.00
Space group P2/m (No. 10)
Inequivalent atoms, fractional coordinates:
La1 0.000 0.000 0.000
Zr1 0.291 0.500 0.719
Zr2 0.500 0.000 0.500


# 11
LaZr | PBE | optimized geometry

The calculation puts the energy above the most stable polymorph in this dataset at 24 meV/atom. The calculation puts the total magnetization at 0.000 μB per atom. The density of states at the Fermi level comes out at 2.91 states/eV/f.u.

abc: 5.957 3.435 11.332
angles: 90.00 100.01 90.00
Space group C2/m (No. 12)
Inequivalent atoms, fractional coordinates:
La1 0.215 0.000 0.141
Zr1 0.129 0.500 0.391


# 12
LaZr3 | PBE | optimized geometry

The calculation puts the total magnetization at 0.000 μB per atom. The value obtained for the total energy is -7.53 eV per atom. The density of states at the Fermi level comes out at 5.16 states/eV/f.u.

abc: 3.237 3.237 9.852
angles: 90.00 90.00 90.00
Space group P4/mmm (No. 123)
Inequivalent atoms, fractional coordinates:
La1 0.000 0.000 0.000
Zr1 0.000 0.000 0.500
Zr2 0.500 0.500 0.276


# 13
LaZr | PBE | optimized geometry

The calculation puts the energy above the most stable polymorph in this dataset at 94 meV/atom. The calculation puts the total magnetization at 0.000 μB per atom. The density of states at the Fermi level comes out at 2.77 states/eV/f.u.

abc: 3.354 3.354 5.052
angles: 90.00 90.00 90.00
Space group P4/mmm (No. 123)
Inequivalent atoms, fractional coordinates:
La1 0.000 0.000 0.000
Zr1 0.500 0.500 0.500


# 14
La7Zr | PBE | optimized geometry

The calculation puts the total magnetization at 0.000 μB per atom. The value obtained for the total energy is -5.29 eV per atom. The density of states at the Fermi level comes out at 16.33 states/eV/f.u.

abc: 10.315 10.315 10.315
angles: 90.00 90.00 90.00
Space group Fm-3m (No. 225)
Inequivalent atoms, fractional coordinates:
La1 0.000 0.000 0.000
La2 0.000 0.250 0.250
Zr1 0.000 0.000 0.500


# 15
LaZr | PBE | optimized geometry

The calculation puts the energy above the most stable polymorph in this dataset at 215 meV/atom. The calculation puts the total magnetization at 0.000 μB per atom. The density of states at the Fermi level comes out at 2.90 states/eV/f.u.

abc: 6.112 6.112 6.112
angles: 90.00 90.00 90.00
Space group P2_13 (No. 198)
Inequivalent atoms, fractional coordinates:
La1 0.089 0.411 0.589
Zr1 0.104 0.896 0.396


# 16
LaZr | PBE | optimized geometry

The calculation puts the energy above the most stable polymorph in this dataset at 3 meV/atom. The calculation puts the total magnetization at 0.000 μB per atom. The density of states at the Fermi level comes out at 3.06 states/eV/f.u.

abc: 3.919 3.919 7.726
angles: 90.00 90.00 90.00
Space group P4/nmm (No. 129, origin choice 2)
Inequivalent atoms, fractional coordinates:
La1 0.250 0.250 0.159
Zr1 0.250 0.250 0.580


# 17
LaZr2 | PBE | optimized geometry

The calculation puts the energy above the most stable polymorph in this dataset at 884 meV/atom. The calculation puts the total magnetization at 0.000 μB per atom. The density of states at the Fermi level comes out at 4.66 states/eV/f.u.

abc: 5.258 5.258 3.283
angles: 90.00 90.00 90.00
Space group P4/mmm (No. 123)
Inequivalent atoms, fractional coordinates:
La1 0.000 0.000 0.000
Zr1 0.000 0.500 0.500


# 18
La5Zr | PBE | optimized geometry

The calculation puts the energy above the most stable polymorph in this dataset at 23 meV/atom. The calculation puts the total magnetization at 0.000 μB per atom. The density of states at the Fermi level comes out at 12.43 states/eV/f.u.

abc: 6.3731 6.3731 5.8191
angles: 90.00 90.00 120.00
Space group P-62m (No. 189)
Inequivalent atoms, fractional coordinates:
La1 0.0000 0.6985 0.0000
La2 0.3333 0.6667 0.5000
Zr1 0.0000 0.0000 0.5000


# 19
LaZr | PBE | optimized geometry

The calculation puts the energy above the most stable polymorph in this dataset at 89 meV/atom. The calculation puts the total magnetization at 0.000 μB per atom. The density of states at the Fermi level comes out at 2.66 states/eV/f.u.

abc: 3.370 5.594 6.070
angles: 90.00 90.00 90.00
Space group Pmmn (No. 59, origin choice 2)
Inequivalent atoms, fractional coordinates:
La1 0.250 0.250 0.098
Zr1 0.250 0.750 0.430


# 20
LaZr3 | PBE | optimized geometry

The calculation puts the total magnetization at 0.000 μB per atom. The value obtained for the total energy is -7.47 eV per atom. The density of states at the Fermi level comes out at 5.03 states/eV/f.u.

abc: 4.687 4.687 9.275
angles: 90.00 90.00 90.00
Space group I4/mmm (No. 139)
Inequivalent atoms, fractional coordinates:
La1 0.000 0.000 0.000
Zr1 0.000 0.000 0.500
Zr2 0.000 0.500 0.250


# 21
LaZr4 | PBE | optimized geometry

The calculation puts the energy above the most stable polymorph in this dataset at 0 meV/atom. The calculation puts the total magnetization at 0.000 μB per atom. The density of states at the Fermi level comes out at 7.16 states/eV/f.u.

abc: 7.365 7.365 4.630
angles: 90.00 90.00 90.00
Space group I4/m (No. 87)
Inequivalent atoms, fractional coordinates:
La1 0.000 0.000 0.000
Zr1 0.089 0.692 0.500


# 22
LaZr2 | PBE | optimized geometry

The calculation puts the energy above the most stable polymorph in this dataset at 175 meV/atom. The calculation puts the total magnetization at 0.000 μB per atom. The density of states at the Fermi level comes out at 4.08 states/eV/f.u.

abc: 3.144 9.210 5.420
angles: 90.00 90.00 90.00
Space group Pnnm (No. 58)
Inequivalent atoms, fractional coordinates:
La1 0.000 0.000 0.000
Zr1 0.005 0.184 0.500


# 23
LaZr | PBE | optimized geometry

The calculation puts the energy above the most stable polymorph in this dataset at 89 meV/atom. The calculation puts the total magnetization at 0.000 μB per atom. The density of states at the Fermi level comes out at 2.96 states/eV/f.u.

abc: 3.460 5.670 11.684
angles: 90.00 90.00 90.00
Space group Imma (No. 74)
Inequivalent atoms, fractional coordinates:
La1 0.000 0.250 0.120
Zr1 0.000 0.250 0.642


# 24
LaZr3 | PBE | optimized geometry

The calculation puts the total magnetization at 0.000 μB per atom. The value obtained for the total energy is -7.50 eV per atom. The density of states at the Fermi level comes out at 4.35 states/eV/f.u.

abc: 5.372 6.638 5.844
angles: 90.00 90.00 90.00
Space group Pmmn (No. 59, origin choice 2)
Inequivalent atoms, fractional coordinates:
La1 0.250 0.250 0.146
Zr1 0.250 0.007 0.649
Zr2 0.250 0.750 0.199


# 25
LaZr2 | PBE | optimized geometry

The calculation puts the energy above the most stable polymorph in this dataset at 29 meV/atom. The calculation puts the total magnetization at 0.000 μB per atom. The density of states at the Fermi level comes out at 3.61 states/eV/f.u.

abc: 3.256 3.256 15.108
angles: 90.00 90.00 90.00
Space group I4/mmm (No. 139)
Inequivalent atoms, fractional coordinates:
La1 0.000 0.000 0.000
Zr1 0.000 0.000 0.321


# 26
La5Zr | PBE | optimized geometry

The calculation puts the energy above the most stable polymorph in this dataset at 449 meV/atom. The calculation puts the total magnetization at 0.181 μB per atom. The density of states at the Fermi level comes out at 12.81 states/eV/f.u.

abc: 6.3982 6.3982 5.9800
angles: 90.00 90.00 120.00
Space group P6/mmm (No. 191)
Inequivalent atoms, fractional coordinates:
La1 0.0000 0.5000 0.0000
La2 0.3333 0.6667 0.5000
Zr1 0.0000 0.0000 0.5000


# 27
La5Zr | PBE | optimized geometry

The calculation puts the energy above the most stable polymorph in this dataset at 25 meV/atom. The calculation puts the total magnetization at 0.000 μB per atom. The density of states at the Fermi level comes out at 11.15 states/eV/f.u.

abc: 5.962 3.579 19.089
angles: 90.00 90.00 90.00
Space group Amm2 (No. 38)
Inequivalent atoms, fractional coordinates:
La1 0.000 0.000 0.000
La2 0.000 0.000 0.311
La3 0.500 0.000 0.098
La4 0.500 0.000 0.421
La5 0.500 0.000 0.753
Zr1 0.000 0.000 0.656


# 28
LaZr2 | PBE | optimized geometry

The calculation puts the energy above the most stable polymorph in this dataset at 1009 meV/atom. The calculation puts the total magnetization at 0.000 μB per atom. The density of states at the Fermi level comes out at 4.93 states/eV/f.u.

abc: 6.853 6.853 6.853
angles: 90.00 90.00 90.00
Space group Pa-3 (No. 205)
Inequivalent atoms, fractional coordinates:
La1 0.000 0.000 0.000
Zr1 0.147 0.647 0.853